An optimized crystal structure of ScCoBRu2. Source: Alexandria, functional PBE.

Its density of states at the Fermi level is 6.2 states/eV/f.u. As for the total energy: -40.46 eV per cell. As for the polymorph energy (0 for the lowest one): 0 meV per atom. The value obtained for the magnetization is 0.00 μB per formula unit. For the formation energy, the calculation gives -0.36 eV per atom.

The structure belongs to space group P4/mmm (No. 123); the cell edges are 4.1318, 4.1318 and 3.8648 Å and the angles 90.00°, 90.00° and 90.00°. Symmetry generates all atoms from Sc at (0.0000, 0.0000, 0.0000), Co at (0.5000, 0.5000, 0.0000), B at (0.5000, 0.5000, 0.5000) and Ru at (0.0000, 0.5000, 0.5000).